The following is a DFT calculation (PBE) of a geometry-optimized TlTcTeN2 structure.

Cell lengths 4.022, 4.022, 5.678 Å; angles 90.00, 90.00, 90.00 degrees
Sites, in units of the cell vectors:
Tl 0.000 0.000 0.000
Tc 0.500 0.500 0.500
Te 0.500 0.500 0.000
N 0.000 0.500 0.500
N 0.500 0.000 0.500

Calculated values
Its volume is 18.37 Å³ per atom. Its density of states at the Fermi level is 2.57 states/eV/f.u. As for the size of the total moment: 0.22 μB/cell. The energy relative to the lowest polymorph listed for this composition comes out at 0.0 meV per atom.